(1)
This record from Alexandria describes Li2AgPt at its PBEsol-relaxed geometry. The functional is meta-GGA SCAN.

Results
Calculated volume, A^3/atom: 14.39

Structure (CIF):
```
data_Li2AgPt
_cell_length_a 3.005
_cell_length_b 4.547
_cell_length_c 8.422
_cell_angle_alpha 90.00
_cell_angle_beta 90.00
_cell_angle_gamma 90.00
_space_group_name_H-M_alt 'I m m m'
_space_group_IT_number 71
_space_group_name_Hall '-I 2 2'
loop_
_atom_site_label
_atom_site_fract_x
_atom_site_fract_y
_atom_site_fract_z
Li1 0.000 0.000 0.245
Ag1 0.000 0.500 0.000
Pt1 0.000 0.500 0.500
```

=====

(2)
This record from Alexandria describes Li2AgPt at its PBEsol-relaxed geometry. The functional is meta-GGA SCAN.

Results
Calculated volume, A^3/atom: 14.41

Structure (CIF):
```
data_Li2AgPt
_cell_length_a 3.860
_cell_length_b 3.860
_cell_length_c 7.741
_cell_angle_alpha 90.00
_cell_angle_beta 90.00
_cell_angle_gamma 90.00
_space_group_name_H-M_alt 'I -4 m 2'
_space_group_IT_number 119
_space_group_name_Hall 'I -4 -2'
loop_
_atom_site_label
_atom_site_fract_x
_atom_site_fract_y
_atom_site_fract_z
Li1 0.000 0.000 0.000
Li2 0.000 0.500 0.250
Ag1 0.000 0.500 0.750
Pt1 0.000 0.000 0.500
```

=====

(3)
This record from Alexandria describes Li2AgPt at its PBEsol-relaxed geometry. The functional is meta-GGA SCAN.

Results
Calculated volume, A^3/atom: 14.45

Structure (CIF):
```
data_Li2AgPt
_cell_length_a 2.7688
_cell_length_b 2.7688
_cell_length_c 26.1187
_cell_angle_alpha 90.00
_cell_angle_beta 90.00
_cell_angle_gamma 120.00
_space_group_name_H-M_alt 'R -3 m'
_space_group_IT_number 166
_space_group_name_Hall '-R 3 2"'
loop_
_atom_site_label
_atom_site_fract_x
_atom_site_fract_y
_atom_site_fract_z
Li1 0.0000 0.0000 0.2454
Ag1 0.0000 0.0000 0.0000
Pt1 0.0000 0.0000 0.5000
```

=====

(4)
This record from Alexandria describes Li2AgPt at its PBEsol-relaxed geometry. The functional is meta-GGA SCAN.

Results
Calculated volume, A^3/atom: 13.84

Structure (CIF):
```
data_Li2AgPt
_cell_length_a 2.917
_cell_length_b 4.275
_cell_length_c 8.881
_cell_angle_alpha 90.00
_cell_angle_beta 90.00
_cell_angle_gamma 90.00
_space_group_name_H-M_alt 'I m m 2'
_space_group_IT_number 44
_space_group_name_Hall 'I 2 -2'
loop_
_atom_site_label
_atom_site_fract_x
_atom_site_fract_y
_atom_site_fract_z
Li1 0.000 0.000 0.000
Li2 0.000 0.500 0.251
Ag1 0.000 0.000 0.505
Pt1 0.000 0.500 0.740
```

=====

(5)
This record from Alexandria describes Li2AgPt at its PBEsol-relaxed geometry. The functional is meta-GGA SCAN.

Results
Calculated volume, A^3/atom: 14.12

Structure (CIF):
```
data_Li2AgPt
_cell_length_a 2.704
_cell_length_b 4.207
_cell_length_c 5.142
_cell_angle_alpha 90.00
_cell_angle_beta 105.07
_cell_angle_gamma 90.00
_space_group_name_H-M_alt 'P 1 m 1'
_space_group_IT_number 6
_space_group_name_Hall 'P -2y'
loop_
_atom_site_label
_atom_site_fract_x
_atom_site_fract_y
_atom_site_fract_z
Li1 0.000 0.000 0.000
Li2 0.133 0.500 0.275
Ag1 0.385 0.500 0.772
Pt1 0.734 0.000 0.473
```

=====

(6)
This record from Alexandria describes LiAg2Pt at its PBEsol-relaxed geometry. The functional is meta-GGA SCAN.

Results
Calculated volume, A^3/atom: 15.36

Structure (CIF):
```
data_LiAg2Pt
_cell_length_a 9.245
_cell_length_b 2.815
_cell_length_c 4.800
_cell_angle_alpha 90.00
_cell_angle_beta 100.39
_cell_angle_gamma 90.00
_space_group_name_H-M_alt 'C 1 m 1'
_space_group_IT_number 8
_space_group_name_Hall 'C -2y'
loop_
_atom_site_label
_atom_site_fract_x
_atom_site_fract_y
_atom_site_fract_z
Li1 0.000 0.000 0.000
Ag1 0.008 0.500 0.520
Ag2 0.256 0.500 0.263
Pt1 0.257 0.000 0.769
```

=====

no.,ΔE_f (meV per atom)
1,-380
2,-370
3,-410
4,-383
5,-388
6,-210